Record 1
Computed, not measured: a geometry-optimized DyTl3Ga3I8 structure at the PBE-GGA level of DFT.

Unit cell a=9.2250 b=9.2367 c=10.2484 alpha=116.97 beta=90.00 gamma=119.96
Last column: nearest neighbours and their distance in Å.
Element x y z (fractional)
1 Ga 0.5000 0.5000 0.5000  6 I 3.31-3.32
2 Ga 0.5000 0.0000 0.5000  6 I 3.31-3.32
3 Ga 0.0000 0.5000 0.5000  6 I 3.31-3.32
4 I 0.2232 0.9844 0.7069  1 Dy 3.05, 2 Ga 3.31
5 I 0.2232 0.4464 0.7070  1 Dy 3.05, 2 Ga 3.31
6 I 0.7768 0.5536 0.2930  1 Dy 3.05, 2 Ga 3.31
7 I 0.7612 0.9844 0.7069  1 Dy 3.05, 2 Ga 3.31
8 I 0.7768 0.0156 0.2931  1 Dy 3.05, 2 Ga 3.31
9 I 0.2577 0.5153 0.2737  3 Ga 3.32, 3 Tl 3.57-3.58
10 I 0.7423 0.4847 0.7263  3 Ga 3.32, 3 Tl 3.57-3.58
11 I 0.2388 0.0156 0.2931  1 Dy 3.05, 2 Ga 3.31
12 Dy 0.0000 0.0000 0.5000  6 I 3.05
13 Tl 0.5000 0.5000 0.0000  6 I 3.58-3.63
14 Tl 0.0000 0.5000 0.0000  6 I 3.58-3.63
15 Tl 0.0000 0.0000 0.0000  6 I 3.57-3.63

## Properties
Formation energy (no corrections) in meV per atom: -626
Space group: C2/m

=====

Record 2
Computed, not measured: a geometry-optimized Dy8In2Ga structure at the PBE-GGA level of DFT.

Unit cell a=5.1602 b=6.7660 c=9.6747 alpha=103.19 beta=105.47 gamma=90.00
Last column: nearest neighbours and their distance in Å.
Element x y z (fractional)
1 Dy 0.9836 0.2309 0.9672  2 Ga 3.07, 1 In 3.18, 3 Dy 3.32-3.41
2 Dy 0.6529 0.9744 0.3058  1 Ga 2.90, 3 In 3.14-3.18
3 Dy 0.5914 0.4584 0.1828  1 Ga 3.17, 3 Dy 3.41, 2 In 3.43
4 Dy 0.7933 0.6998 0.5866  3 In 3.13-3.34, 2 Dy 3.39
5 Dy 0.3471 0.0256 0.6942  1 Ga 2.90, 3 In 3.14-3.18
6 Dy 0.0164 0.7691 0.0328  2 Ga 3.07, 1 In 3.18, 3 Dy 3.32-3.41
7 Dy 0.4086 0.5416 0.8172  1 Ga 3.17, 3 Dy 3.41, 2 In 3.43
8 Dy 0.2067 0.3002 0.4134  3 In 3.13-3.34, 2 Dy 3.39
9 In 0.1842 0.7435 0.3685  9 Dy 3.13-3.43
10 In 0.8158 0.2565 0.6315  9 Dy 3.13-3.43
11 Ga 0.5000 0.0000 0.0000  8 Dy 2.90-3.17

## Properties
Uncorrected energy in eV/atom: -4.37
Space group: C2/m

=====

Record 3
Computed, not measured: a geometry-optimized Dy4In2Ga structure at the PBE-GGA level of DFT.

Unit cell a=5.1880 b=5.1880 c=9.0017 alpha=73.25 beta=73.25 gamma=60.00
Last column: nearest neighbours and their distance in Å.
Element x y z (fractional)
1 In 0.2478 0.2478 0.2566  8 Dy 3.14-3.26
2 In 0.7522 0.7522 0.7434  8 Dy 3.14-3.26
3 Dy 0.3759 0.3759 0.8724  3 Ga 3.19, 4 In 3.19-3.26
4 Dy 0.8754 0.8754 0.3738  4 In 3.14-3.16, 1 Ga 3.17
5 Dy 0.6241 0.6241 0.1276  3 Ga 3.19, 4 In 3.19-3.26
6 Dy 0.1246 0.1246 0.6262  4 In 3.14-3.16, 1 Ga 3.17
7 Ga 0.0000 0.0000 0.0000  8 Dy 3.17-3.19

## Properties
Space group: R-3m
Energy relative to the lowest polymorph listed for this composition in eV per atom: 0.000

=====

Record 4
Computed, not measured: a geometry-optimized DyInGa structure at the PBE-GGA level of DFT.

Unit cell a=3.4699 b=3.4699 c=6.3661 alpha=105.82 beta=105.82 gamma=90.00
Last column: nearest neighbours and their distance in Å.
Element x y z (fractional)
1 In 0.3176 0.3176 0.6352  4 Ga 2.99, 4 Dy 3.34
2 Dy 0.0104 0.0104 0.0208  4 Ga 3.10, 4 In 3.34, 4 Dy 3.47
3 Ga 0.6720 0.6720 0.3441  4 In 2.99, 4 Dy 3.10

## Properties
Space group: I4mm
Energy relative to the lowest polymorph listed for this composition in eV per atom: 0.159

=====

Record 5
Computed, not measured: a geometry-optimized Dy6In5Ga structure at the PBE-GGA level of DFT.

Unit cell a=5.2797 b=7.4447 c=8.3490 alpha=90.00 beta=71.57 gamma=90.01
Last column: nearest neighbours and their distance in Å.
Element x y z (fractional)
1 Dy 0.1624 0.2470 0.6752  1 Ga 3.16, 7 In 3.19-3.28
2 Dy 0.8376 0.7530 0.3248  1 Ga 3.16, 7 In 3.19-3.28
3 Dy 0.1624 0.7530 0.6752  1 Ga 3.16, 7 In 3.19-3.28
4 Dy 0.5000 0.2422 0.0000  2 Ga 3.20, 6 In 3.24-3.29
5 Dy 0.5000 0.7578 0.0000  2 Ga 3.20, 6 In 3.24-3.29
6 Dy 0.8376 0.2470 0.3248  1 Ga 3.16, 7 In 3.19-3.28
7 In 0.6684 0.5000 0.6631  8 Dy 3.24-3.29
8 In 0.6698 0.0000 0.6605  8 Dy 3.22-3.24
9 In 0.0000 0.5000 0.0000  8 Dy 3.19-3.26
10 In 0.3302 0.0000 0.3395  8 Dy 3.22-3.24
11 In 0.3316 0.5000 0.3369  8 Dy 3.24-3.29
12 Ga 0.0000 0.0000 0.0000  8 Dy 3.16-3.20

## Properties
Uncorrected energy in eV/atom: -4.17
Space group: Cmmm

=====

Record 6
Computed, not measured: a geometry-optimized Dy2InGa3 structure at the PBE-GGA level of DFT.

Unit cell a=5.8023 b=5.8023 c=8.6807 alpha=105.17 beta=105.17 gamma=102.55
Last column: nearest neighbours and their distance in Å.
Element x y z (fractional)
1 Ga 0.1625 0.1625 0.3250  2 Ga 2.55, 1 In 2.70
2 Ga 0.3247 0.8374 0.1621  2 Ga 2.55-2.56, 1 In 2.68
3 Ga 0.6753 0.1626 0.8379  2 Ga 2.55-2.56, 1 In 2.68
4 Ga 0.8375 0.8375 0.6750  2 Ga 2.55, 1 In 2.70
5 Ga 0.8374 0.3247 0.1621  2 Ga 2.55-2.56, 1 In 2.68
6 Ga 0.1626 0.6753 0.8379  2 Ga 2.55-2.56, 1 In 2.68
7 Dy 0.2480 0.2480 0.0000  10 Ga 3.12-3.22, 2 In 3.20
8 Dy 0.7500 0.2500 0.5000  4 In 3.19, 8 Ga 3.21-3.22
9 Dy 0.2500 0.7500 0.5000  4 In 3.19, 8 Ga 3.21-3.22
10 Dy 0.7520 0.7520 0.0000  10 Ga 3.12-3.22, 2 In 3.20
11 In 0.3337 0.3337 0.6674  3 Ga 2.68-2.70
12 In 0.6663 0.6663 0.3326  3 Ga 2.68-2.70

## Properties
Uncorrected energy in eV/atom: -4.03
Space group: Fmmm

=====

Record 7
Computed, not measured: a geometry-optimized Dy2InGa9 structure at the PBE-GGA level of DFT.

Unit cell a=4.2742 b=4.2742 c=13.1902 alpha=90.00 beta=90.00 gamma=90.00
Last column: nearest neighbours and their distance in Å.
Element x y z (fractional)
1 Ga 0.5000 0.5000 0.3379  4 Dy 3.02, 8 Ga 3.02-3.07
2 Ga 0.0000 0.5000 0.1705  8 Ga 3.02-3.10, 2 Dy 3.09, 2 In 3.10
3 Ga 0.5000 0.5000 0.6621  4 Dy 3.02, 8 Ga 3.02-3.07
4 Ga 0.5000 0.0000 0.1705  8 Ga 3.02-3.10, 2 Dy 3.09, 2 In 3.10
5 Ga 0.0000 0.5000 0.8295  8 Ga 3.02-3.10, 2 Dy 3.09, 2 In 3.10
6 Ga 0.5000 0.0000 0.5000  4 Dy 3.01, 8 Ga 3.02
7 Ga 0.5000 0.5000 0.0000  4 In 3.02, 8 Ga 3.10
8 Ga 0.0000 0.5000 0.5000  4 Dy 3.01, 8 Ga 3.02
9 Ga 0.5000 0.0000 0.8295  8 Ga 3.02-3.10, 2 Dy 3.09, 2 In 3.10
10 Dy 0.0000 0.0000 0.3397  12 Ga 3.01-3.09
11 Dy 0.0000 0.0000 0.6603  12 Ga 3.01-3.09
12 In 0.0000 0.0000 0.0000  12 Ga 3.02-3.10

## Properties
Uncorrected energy in eV/atom: -3.57
Space group: P4/mmm

=====

Record 8
Computed, not measured: a geometry-optimized DyIn2Ga structure at the PBE-GGA level of DFT.

Unit cell a=4.6673 b=4.4641 c=4.4641 alpha=90.00 beta=90.00 gamma=90.00
Last column: nearest neighbours and their distance in Å.
Element x y z (fractional)
1 Dy 0.5000 0.5000 0.5000  4 Ga 3.16, 8 In 3.23
2 Ga 0.5000 0.0000 0.0000  4 Dy 3.16, 8 In 3.23
3 In 0.0000 0.0000 0.5000  4 In 3.16, 4 Ga 3.23, 4 Dy 3.23
4 In 0.0000 0.5000 0.0000  4 In 3.16, 4 Dy 3.23, 4 Ga 3.23

## Properties
Space group: P4/mmm
Energy relative to the lowest polymorph listed for this composition in eV per atom: 0.000

=====

Record 9
Computed, not measured: a geometry-optimized Dy4InGa12 structure at the PBE-GGA level of DFT.

Unit cell a=7.6312 b=7.6312 c=7.6312 alpha=109.47 beta=109.47 gamma=109.47
Last column: nearest neighbours and their distance in Å.
Element x y z (fractional)
1 In 0.0000 0.0000 0.0000  6 Ga 2.80
2 Ga 0.5000 0.7500 0.2500  4 Ga 2.73
3 Ga 0.5000 0.2500 0.7500  4 Ga 2.73
4 Ga 0.7500 0.5000 0.2500  4 Ga 2.73
5 Ga 0.2500 0.5000 0.7500  4 Ga 2.73
6 Ga 0.0000 0.6826 0.6826  4 Ga 2.73, 1 In 2.80
7 Ga 0.3174 0.3174 0.0000  4 Ga 2.73, 1 In 2.80
8 Ga 0.0000 0.3174 0.3174  4 Ga 2.73, 1 In 2.80
9 Ga 0.2500 0.7500 0.5000  4 Ga 2.73
10 Ga 0.6826 0.0000 0.6826  4 Ga 2.73, 1 In 2.80
11 Ga 0.7500 0.2500 0.5000  4 Ga 2.73
12 Ga 0.3174 0.0000 0.3174  4 Ga 2.73, 1 In 2.80
13 Ga 0.6826 0.6826 0.0000  4 Ga 2.73, 1 In 2.80
14 Dy 0.5000 0.0000 0.0000  12 Ga 3.12-3.17
15 Dy 0.0000 0.5000 0.0000  12 Ga 3.12-3.17
16 Dy 0.5000 0.5000 0.5000  12 Ga 3.12-3.17
17 Dy 0.0000 0.0000 0.5000  12 Ga 3.12-3.17

## Properties
Uncorrected energy in eV/atom: -3.84
Space group: Im-3m

=====

Record 10
Computed, not measured: a geometry-optimized Dy2InGa2 structure at the PBE-GGA level of DFT.

Unit cell a=4.4318 b=7.2150 c=7.2150 alpha=90.00 beta=90.00 gamma=90.00
Last column: nearest neighbours and their distance in Å.
Element x y z (fractional)
1 Dy 0.5000 0.1723 0.6723  6 Ga 3.03-3.10
2 Dy 0.5000 0.6723 0.8277  6 Ga 3.03-3.10
3 Dy 0.5000 0.8277 0.3277  6 Ga 3.03-3.10
4 Dy 0.5000 0.3277 0.1723  6 Ga 3.03-3.10
5 In 0.0000 0.0000 0.0000  4 Ga 2.85
6 In 0.0000 0.5000 0.5000  4 Ga 2.85
7 Ga 0.0000 0.6254 0.1254  1 Ga 2.56, 2 In 2.85
8 Ga 0.0000 0.1254 0.3746  1 Ga 2.56, 2 In 2.85
9 Ga 0.0000 0.3746 0.8746  1 Ga 2.56, 2 In 2.85
10 Ga 0.0000 0.8746 0.6254  1 Ga 2.56, 2 In 2.85

## Properties
Uncorrected energy in eV/atom: -4.23
Space group: P4/mbm

=====

Record 11
Computed, not measured: a geometry-optimized Dy4In2Ga structure at the PBE-GGA level of DFT.

Unit cell a=3.5584 b=8.4946 c=7.9885 alpha=123.92 beta=90.00 gamma=90.00
Last column: nearest neighbours and their distance in Å.
Element x y z (fractional)
1 In 0.5000 0.7768 0.2394  1 In 2.99, 4 Dy 3.10-3.28
2 In 0.5000 0.3663 0.9034  1 In 2.99, 4 Dy 3.10-3.28
3 Dy 0.0000 0.6417 0.8230  1 Ga 3.03, 4 In 3.28-3.36
4 Dy 0.5000 0.9324 0.7099  2 Ga 3.02, 2 In 3.10-3.21
5 Dy 0.5000 0.2107 0.4333  2 Ga 3.02, 2 In 3.10-3.21
6 Dy 0.0000 0.5009 0.3194  1 Ga 3.03, 4 In 3.28-3.36
7 Ga 0.0000 0.0712 0.0717  6 Dy 3.02-3.03

## Properties
Space group: P2/m
Energy relative to the lowest polymorph listed for this composition in eV per atom: 0.113

=====

Record 12
Computed, not measured: a geometry-optimized DyInGa4 structure at the PBE-GGA level of DFT.

Unit cell a=5.5915 b=5.5915 c=5.5915 alpha=60.00 beta=60.00 gamma=60.00
Last column: nearest neighbours and their distance in Å.
Element x y z (fractional)
1 Ga 0.6246 0.6246 0.1261  6 Ga 2.79-2.80
2 Ga 0.6246 0.1261 0.6246  6 Ga 2.79-2.80
3 Ga 0.1261 0.6246 0.6246  6 Ga 2.79-2.80
4 Ga 0.6246 0.6246 0.6246  6 Ga 2.79-2.80
5 In 0.0000 0.0000 0.0000  12 Ga 3.28, 4 Dy 3.42
6 Dy 0.2500 0.2500 0.2500  12 Ga 3.28, 4 In 3.42

## Properties
Uncorrected energy in eV/atom: -3.47
Space group: F-43m

=====

no.,spin magnetization (Bohr magnetons per cell)
1,0.00
2,0.00
3,0.00
4,0.00
5,0.00
6,0.00
7,0.00
8,0.00
9,0.00
10,0.00
11,0.00
12,0.00